SrV3P4O17 after structural relaxation, computed with PBE with a Hubbard U.

a = 7.533 Å, b = 10.263 Å, c = 16.688 Å
α = 90.00°, β = 90.00°, γ = 90.00°
Sites, in units of the cell vectors:
Sr: 0.005 0.063 0.178
Sr: 0.495 0.937 0.678
Sr: 0.505 0.437 0.822
Sr: 0.995 0.563 0.322
V: 0.219 0.752 0.498
V: 0.224 0.676 0.150
V: 0.224 0.825 0.848
V: 0.276 0.175 0.348
V: 0.276 0.324 0.650
V: 0.281 0.248 0.998
V: 0.719 0.748 0.502
V: 0.724 0.675 0.152
V: 0.724 0.824 0.850
V: 0.776 0.176 0.350
V: 0.776 0.325 0.652
V: 0.781 0.252 0.002
P: 0.198 0.138 0.811
P: 0.200 0.636 0.690
P: 0.208 0.060 0.539
P: 0.211 0.562 0.962
P: 0.289 0.438 0.462
P: 0.292 0.940 0.039
P: 0.300 0.364 0.190
P: 0.302 0.862 0.311
P: 0.698 0.362 0.189
P: 0.700 0.864 0.310
P: 0.708 0.440 0.461
P: 0.711 0.938 0.038
P: 0.789 0.062 0.538
P: 0.792 0.560 0.961
P: 0.800 0.136 0.810
P: 0.802 0.638 0.689
O: 0.000 0.129 0.777
O: 0.000 0.629 0.723
O: 0.001 0.667 0.144
O: 0.001 0.774 0.481
O: 0.001 0.829 0.836
O: 0.002 0.563 0.969
O: 0.190 0.164 0.900
O: 0.200 0.659 0.601
O: 0.210 0.752 0.265
O: 0.214 0.250 0.236
O: 0.218 0.387 0.540
O: 0.219 0.496 0.212
O: 0.219 0.888 0.961
O: 0.220 0.997 0.292
O: 0.228 0.577 0.440
O: 0.235 0.080 0.059
O: 0.237 0.357 0.388
O: 0.238 0.862 0.114
O: 0.262 0.138 0.614
O: 0.263 0.643 0.888
O: 0.265 0.920 0.559
O: 0.272 0.423 0.940
O: 0.280 0.003 0.792
O: 0.281 0.112 0.461
O: 0.281 0.504 0.712
O: 0.282 0.613 0.040
O: 0.286 0.750 0.736
O: 0.290 0.248 0.765
O: 0.300 0.341 0.101
O: 0.310 0.836 0.400
O: 0.498 0.437 0.469
O: 0.499 0.171 0.336
O: 0.499 0.226 0.981
O: 0.499 0.333 0.644
O: 0.500 0.371 0.223
O: 0.500 0.871 0.277
O: 0.501 0.671 0.164
O: 0.501 0.726 0.519
O: 0.501 0.833 0.856
O: 0.502 0.937 0.031
O: 0.690 0.336 0.100
O: 0.700 0.841 0.399
O: 0.710 0.748 0.735
O: 0.714 0.250 0.764
O: 0.718 0.113 0.460
O: 0.719 0.004 0.788
O: 0.719 0.612 0.039
O: 0.720 0.503 0.708
O: 0.728 0.923 0.560
O: 0.735 0.420 0.941
O: 0.737 0.143 0.612
O: 0.738 0.638 0.886
O: 0.762 0.362 0.386
O: 0.763 0.857 0.112
O: 0.765 0.580 0.441
O: 0.772 0.077 0.060
O: 0.780 0.497 0.208
O: 0.781 0.388 0.539
O: 0.781 0.996 0.288
O: 0.782 0.887 0.960
O: 0.786 0.750 0.264
O: 0.790 0.252 0.235
O: 0.800 0.159 0.899
O: 0.810 0.664 0.600
O: 0.998 0.063 0.531
O: 0.999 0.167 0.356
O: 0.999 0.274 0.019
O: 0.999 0.329 0.664

Results
**Total moment**: 0.120 μB/atom
**Raw total energy**: -746.00 eV for the cell shown
**Symmetry**: P2_12_12_1, No. 19